# 1
DyPd6Pb | GGA-PBE | optimized geometry

Cell: 5.824 5.824 4.118 Å, 90.00 90.00 90.00°
Space group P4/mmm (No. 123)
Symmetry-distinct sites (fractional):
Dy 0.000 0.000 0.000 [1 per cell]
Pd 0.000 0.500 0.000 [2 per cell]
Pd 0.250 0.250 0.500 [4 per cell]
Pb 0.500 0.500 0.000 [1 per cell]

Summary:
The calculation puts the formation energy at -0.577 eV per atom. As for the total energy: -5.510 eV per atom. For the energy above the most stable polymorph in this dataset, the calculation gives 0.00 eV/f.u.

---

# 2
DyPdPb | GGA-PBE | optimized geometry

Cell: 13.951 3.831 7.908 Å, 90.00 90.00 90.00°
Space group Pmma (No. 51)
Symmetry-distinct sites (fractional):
Dy 0.053 0.000 0.215 [4 per cell]
Dy 0.250 0.000 0.826 [2 per cell]
Pd 0.091 0.500 0.924 [4 per cell]
Pd 0.250 0.000 0.427 [2 per cell]
Pb 0.114 0.500 0.560 [4 per cell]
Pb 0.250 0.500 0.161 [2 per cell]

Summary:
The calculation puts the formation energy at -0.691 eV per atom. As for the total energy: -5.192 eV per atom.

---

# 3
Dy12Pd6Pb | GGA-PBE | optimized geometry

Cell: 9.986 9.986 9.986 Å, 90.00 90.00 90.00°
Space group Im-3 (No. 204)
Symmetry-distinct sites (fractional):
Dy 0.000 0.299 0.185 [24 per cell]
Pd 0.000 0.136 0.500 [12 per cell]
Pb 0.000 0.000 0.000 [2 per cell]

Summary:
The calculation puts the formation energy at -0.631 eV per atom. As for the total energy: -5.373 eV per atom.

---

# 4
Dy2Pd6Pb | GGA-PBE | optimized geometry

Cell: 13.569 8.104 3.585 Å, 90.00 105.17 90.00°
Space group C2/m (No. 12)
Symmetry-distinct sites (fractional):
Dy 0.163 0.000 0.164 [4 per cell]
Pd 0.000 0.234 0.000 [4 per cell]
Pd 0.167 0.273 0.667 [8 per cell]
Pb 0.000 0.500 0.500 [2 per cell]

Summary:
The calculation puts the formation energy at -0.461 eV per atom. As for the total energy: -5.357 eV per atom.

---

# 5
DyPd15Pb4 | GGA-PBE | optimized geometry

Cell: 4.114 4.114 20.557 Å, 90.00 90.00 90.00°
Space group P4/mmm (No. 123)
Symmetry-distinct sites (fractional):
Dy 0.000 0.000 0.000 [1 per cell]
Pd 0.000 0.500 0.101 [4 per cell]
Pd 0.000 0.500 0.300 [4 per cell]
Pd 0.000 0.500 0.500 [2 per cell]
Pd 0.500 0.500 0.000 [1 per cell]
Pd 0.500 0.500 0.201 [2 per cell]
Pd 0.500 0.500 0.400 [2 per cell]
Pb 0.000 0.000 0.200 [2 per cell]
Pb 0.000 0.000 0.400 [2 per cell]

Summary:
The calculation puts the formation energy at -0.409 eV per atom. As for the total energy: -5.276 eV per atom.

---

# 6
DyPdPb | GGA-PBE | optimized geometry

Cell: 3.543 3.543 11.346 Å, 90.00 90.00 90.00°
Space group I4mm (No. 107)
Symmetry-distinct sites (fractional):
Dy 0.000 0.000 0.000 [2 per cell]
Pd 0.000 0.000 0.360 [2 per cell]
Pb 0.000 0.000 0.704 [2 per cell]

Summary:
The calculation puts the formation energy at -0.511 eV per atom. As for the total energy: -5.012 eV per atom.

---

# 7
DyPdPb | GGA-PBE | optimized geometry

Cell: 7.8182 7.8182 3.9098 Å, 90.00 90.00 120.00°
Space group P-62m (No. 189)
Symmetry-distinct sites (fractional):
Dy 0.0000 0.5986 0.0000 [3 per cell]
Pd 0.0000 0.0000 0.0000 [1 per cell]
Pd 0.3333 0.6667 0.5000 [2 per cell]
Pb 0.0000 0.2657 0.5000 [3 per cell]

Summary:
The calculation puts the formation energy at -0.725 eV per atom. As for the total energy: -5.226 eV per atom.

---

# 8
Dy4Pd7Pb | GGA-PBE | optimized geometry

Cell: 10.886 5.234 10.484 Å, 90.00 120.14 90.00°
Space group C2/m (No. 12)
Symmetry-distinct sites (fractional):
Dy 0.092 0.000 0.283 [4 per cell]
Dy 0.211 0.500 0.134 [4 per cell]
Pd 0.000 0.000 0.500 [2 per cell]
Pd 0.074 0.500 0.817 [4 per cell]
Pd 0.134 0.000 0.024 [4 per cell]
Pd 0.214 0.500 0.406 [4 per cell]
Pb 0.000 0.500 0.500 [2 per cell]

Summary:
The calculation puts the formation energy at -0.662 eV per atom. As for the total energy: -5.534 eV per atom.

---

# 9
Dy6Pd2Pb | GGA-PBE | optimized geometry

Cell: 9.460 9.863 10.514 Å, 90.00 90.00 90.00°
Space group Immm (No. 71)
Symmetry-distinct sites (fractional):
Dy 0.000 0.203 0.235 [8 per cell]
Dy 0.197 0.500 0.174 [8 per cell]
Dy 0.208 0.317 0.500 [8 per cell]
Pd 0.000 0.347 0.000 [4 per cell]
Pd 0.000 0.500 0.368 [4 per cell]
Pb 0.000 0.000 0.000 [2 per cell]
Pb 0.000 0.000 0.500 [2 per cell]

Summary:
The calculation puts the formation energy at -0.542 eV per atom. As for the total energy: -5.176 eV per atom.

---

# 10
DyPdPb | GGA-PBE | optimized geometry

Cell: 4.7569 4.7569 3.5938 Å, 90.00 90.00 120.00°
Space group P-6m2 (No. 187)
Symmetry-distinct sites (fractional):
Dy 0.0000 0.0000 0.0000 [1 per cell]
Pd 0.3333 0.6667 0.5000 [1 per cell]
Pb 0.6667 0.3333 0.5000 [1 per cell]

Summary:
The calculation puts the formation energy at -0.640 eV per atom. As for the total energy: -5.141 eV per atom.

---

# 11
Dy3Pd8Pb2 | GGA-PBE | optimized geometry

Cell: 5.4923 5.4923 30.7596 Å, 90.00 90.00 120.00°
Space group R-3m (No. 166, hexagonal axes)
Symmetry-distinct sites (fractional):
Dy 0.0000 0.0000 0.0000 [3 per cell]
Dy 0.0000 0.0000 0.1908 [6 per cell]
Pd 0.0000 0.0000 0.2808 [6 per cell]
Pd 0.0057 0.5028 0.7741 [18 per cell]
Pb 0.0000 0.0000 0.3683 [6 per cell]

Summary:
The calculation puts the formation energy at -0.497 eV per atom. As for the total energy: -5.326 eV per atom.

---

# 12
DyPd8Pb2 | GGA-PBE | optimized geometry

Cell: 7.582 12.983 4.964 Å, 90.00 122.74 90.00°
Space group C2/m (No. 12)
Symmetry-distinct sites (fractional):
Dy 0.000 0.000 0.000 [2 per cell]
Pd 0.000 0.215 0.000 [4 per cell]
Pd 0.077 0.500 0.812 [4 per cell]
Pd 0.210 0.114 0.638 [8 per cell]
Pb 0.000 0.309 0.500 [4 per cell]

Summary:
The calculation puts the formation energy at -0.326 eV per atom. As for the total energy: -5.195 eV per atom.

---

# 13
DyPd14Pb | GGA-PBE | optimized geometry

Cell: 5.753 5.753 7.929 Å, 90.00 90.00 90.00°
Space group P4/mmm (No. 123)
Symmetry-distinct sites (fractional):
Dy 0.000 0.000 0.000 [1 per cell]
Pd 0.000 0.000 0.500 [1 per cell]
Pd 0.000 0.500 0.000 [2 per cell]
Pd 0.000 0.500 0.500 [2 per cell]
Pd 0.250 0.250 0.258 [8 per cell]
Pd 0.500 0.500 0.500 [1 per cell]
Pb 0.500 0.500 0.000 [1 per cell]

Summary:
The calculation puts the formation energy at -0.262 eV per atom. As for the total energy: -5.325 eV per atom.

---

# 14
Dy2Pd5Pb | GGA-PBE | optimized geometry

Cell: 6.289 6.289 7.840 Å, 90.00 90.00 90.00°
Space group I4mm (No. 107)
Symmetry-distinct sites (fractional):
Dy 0.000 0.500 0.000 [4 per cell]
Pd 0.000 0.000 0.009 [2 per cell]
Pd 0.224 0.224 0.740 [8 per cell]
Pb 0.000 0.000 0.414 [2 per cell]

Summary:
The calculation puts the formation energy at -0.694 eV per atom. As for the total energy: -5.554 eV per atom.

---

# 15
Dy2Pd5Pb2 | GGA-PBE | optimized geometry

Cell: 14.327 5.537 9.340 Å, 90.00 90.00 90.00°
Space group Ima2 (No. 46)
Symmetry-distinct sites (fractional):
Dy 0.125 0.021 0.000 [8 per cell]
Pd 0.049 0.218 0.727 [8 per cell]
Pd 0.151 0.722 0.764 [8 per cell]
Pd 0.250 0.245 0.279 [4 per cell]
Pb 0.000 0.000 0.458 [4 per cell]
Pb 0.250 0.528 0.035 [4 per cell]

Summary:
The calculation puts the formation energy at -0.489 eV per atom. As for the total energy: -5.220 eV per atom.

---

# 16
DyPuPdPb | GGA-PBE | optimized geometry

Cell: 7.411 7.411 7.411 Å, 90.00 90.00 90.00°
Space group F-43m (No. 216)
Symmetry-distinct sites (fractional):
Dy 0.000 0.000 0.000 [4 per cell]
Pu 0.000 0.000 0.500 [4 per cell]
Pd 0.250 0.250 0.250 [4 per cell]
Pb 0.250 0.250 0.750 [4 per cell]

Summary:
The calculation puts the formation energy at -0.357 eV per atom. As for the total energy: -7.316 eV per atom.

---

# 17
DyScPdPb | GGA-PBE | optimized geometry

Cell: 7.169 7.169 7.169 Å, 90.00 90.00 90.00°
Space group F-43m (No. 216)
Symmetry-distinct sites (fractional):
Dy 0.000 0.000 0.000 [4 per cell]
Sc 0.000 0.000 0.500 [4 per cell]
Pd 0.250 0.250 0.750 [4 per cell]
Pb 0.250 0.250 0.250 [4 per cell]

Summary:
The calculation puts the formation energy at -0.582 eV per atom. As for the total energy: -5.541 eV per atom.

---

# 18
SmDyPdPb | GGA-PBE | optimized geometry

Cell: 7.442 7.442 7.442 Å, 90.00 90.00 90.00°
Space group F-43m (No. 216)
Symmetry-distinct sites (fractional):
Sm 0.000 0.000 0.000 [4 per cell]
Dy 0.000 0.000 0.500 [4 per cell]
Pd 0.250 0.250 0.250 [4 per cell]
Pb 0.250 0.250 0.750 [4 per cell]

Summary:
The calculation puts the formation energy at -0.603 eV per atom. As for the total energy: -5.158 eV per atom.

---

# 19
SrDyPdPb | GGA-PBE | optimized geometry

Cell: 7.582 7.582 7.582 Å, 90.00 90.00 90.00°
Space group F-43m (No. 216)
Symmetry-distinct sites (fractional):
Sr 0.000 0.000 0.000 [4 per cell]
Dy 0.000 0.000 0.500 [4 per cell]
Pd 0.250 0.250 0.750 [4 per cell]
Pb 0.250 0.250 0.250 [4 per cell]

Summary:
The calculation puts the formation energy at -0.498 eV per atom. As for the total energy: -4.294 eV per atom.

---

# 20
TbDyPdPb | GGA-PBE | optimized geometry

Cell: 7.382 7.382 7.382 Å, 90.00 90.00 90.00°
Space group F-43m (No. 216)
Symmetry-distinct sites (fractional):
Tb 0.000 0.000 0.000 [4 per cell]
Dy 0.000 0.000 0.500 [4 per cell]
Pd 0.250 0.250 0.250 [4 per cell]
Pb 0.250 0.250 0.750 [4 per cell]

Summary:
The calculation puts the formation energy at -0.617 eV per atom. As for the total energy: -5.150 eV per atom.